[1]
Material: Ca2LaIn2
Method: DFT, PBE
State: relaxed

Properties
Its formation energy is -0.334 eV/atom. The value obtained for the raw total energy is -3.22 eV per atom. As for the energy above the most stable polymorph in this dataset: 2 meV per atom.

a = 8.9216 Å, b = 8.9216 Å, c = 4.0570 Å
α = 90.00°, β = 90.00°, γ = 90.00°
Closest atoms and distances in Å follow each position.
Space group P4/mbm (No. 127)
One atom of each set of equivalent atoms:
Ca 0.1707 0.3293 0.0000 [4 per cell]  6 In 3.26-3.36
La 0.0000 0.0000 0.5000 [2 per cell]  4 In 3.52, 8 Ca 3.88
In 0.1268 0.6268 0.5000 [4 per cell]  1 In 3.20, 6 Ca 3.26-3.36, 2 La 3.52

***

[2]
Material: Ca2LaIn9
Method: DFT, PBE
State: relaxed

Properties
Its formation energy is -0.378 eV/atom. The value obtained for the raw total energy is -3.18 eV per atom.

a = 4.7428 Å, b = 4.7428 Å, c = 14.2230 Å
α = 90.00°, β = 90.00°, γ = 90.00°
Closest atoms and distances in Å follow each position.
Space group P4/mmm (No. 123)
One atom of each set of equivalent atoms:
Ca 0.0000 0.0000 0.1637 [2 per cell]  12 In 3.32-3.35
La 0.0000 0.0000 0.5000 [1 per cell]  12 In 3.35-3.40
In 0.0000 0.5000 0.0000 [2 per cell]  4 Ca 3.32, 8 In 3.35
In 0.0000 0.5000 0.3285 [4 per cell]  8 In 3.31-3.40, 2 Ca 3.33, 2 La 3.40
In 0.5000 0.5000 0.1666 [2 per cell]  8 In 3.31-3.35, 4 Ca 3.35
In 0.5000 0.5000 0.5000 [1 per cell]  4 La 3.35, 8 In 3.40

***

[3]
Material: Ca2LaIn
Method: DFT, PBE
State: relaxed

Properties
Its formation energy is -0.206 eV/atom. The value obtained for the raw total energy is -3.12 eV per atom. As for the energy above the most stable polymorph in this dataset: 42 meV per atom.

a = 8.0775 Å, b = 8.0775 Å, c = 8.0775 Å
α = 90.00°, β = 90.00°, γ = 90.00°
Closest atoms and distances in Å follow each position.
Space group F-43m (No. 216)
One atom of each set of equivalent atoms:
Ca 0.0000 0.0000 0.0000 [4 per cell]  4 Ca 3.50, 4 La 3.50
Ca 0.2500 0.2500 0.2500 [4 per cell]  4 In 3.50, 4 Ca 3.50
La 0.2500 0.2500 0.7500 [4 per cell]  4 In 3.50, 4 Ca 3.50
In 0.0000 0.0000 0.5000 [4 per cell]  4 La 3.50, 4 Ca 3.50

***

[4]
Material: Ca2LaIn
Method: DFT, PBE
State: relaxed

Properties
Its formation energy is -0.159 eV/atom. The value obtained for the raw total energy is -3.08 eV per atom. As for the energy above the most stable polymorph in this dataset: 89 meV per atom.

a = 3.6410 Å, b = 5.2973 Å, c = 7.0627 Å
α = 90.00°, β = 98.95°, γ = 90.00°
Closest atoms and distances in Å follow each position.
Space group P2/m (No. 10)
One atom of each set of equivalent atoms:
Ca 0.0722 0.0000 0.2698 [2 per cell]  2 In 3.36, 3 Ca 3.37-3.64, 4 La 3.71-3.74
La 0.5000 0.5000 0.0000 [1 per cell]  2 In 3.53, 2 La 3.64, 8 Ca 3.71-3.74
In 0.5000 0.5000 0.5000 [1 per cell]  4 Ca 3.36, 2 La 3.53, 2 In 3.64

***

[5]
Material: CaLa3In2
Method: DFT, PBE
State: relaxed

Properties
Its formation energy is -0.400 eV/atom. The value obtained for the raw total energy is -4.11 eV per atom. As for the energy above the most stable polymorph in this dataset: 0 meV per atom.

a = 5.6319 Å, b = 9.8092 Å, c = 7.0760 Å
α = 90.00°, β = 90.00°, γ = 90.00°
Closest atoms and distances in Å follow each position.
Space group Pmc2_1 (No. 26)
One atom of each set of equivalent atoms:
Ca 0.0000 0.0022 0.0000 [2 per cell]  2 Ca 3.54, 6 In 3.68-3.73, 6 La 3.70-3.73
La 0.0000 0.3335 0.7466 [2 per cell]  5 In 3.27-3.55
La 0.5000 0.1653 0.2519 [2 per cell]  5 In 3.24-3.55
La 0.5000 0.4973 0.9990 [2 per cell]  8 La 3.54-3.74, 6 In 3.70-3.76
In 0.0000 0.3321 0.2482 [2 per cell]  5 La 3.26-3.55
In 0.5000 0.1648 0.7506 [2 per cell]  5 La 3.24-3.55

***

[6]
Material: CaLa5In4
Method: DFT, PBE
State: relaxed

Properties
Its formation energy is -0.385 eV/atom. The value obtained for the raw total energy is -4.14 eV per atom.

a = 3.9656 Å, b = 3.9656 Å, c = 20.7912 Å
α = 90.00°, β = 90.00°, γ = 90.00°
Closest atoms and distances in Å follow each position.
Space group P4/mmm (No. 123)
One atom of each set of equivalent atoms:
Ca 0.0000 0.0000 0.0000 [1 per cell]  8 La 3.80, 4 Ca 3.97
La 0.5000 0.5000 0.1235 [2 per cell]  4 In 3.36
La 0.5000 0.5000 0.3101 [2 per cell]  8 In 3.43-3.46
La 0.5000 0.5000 0.5000 [1 per cell]  8 In 3.43
In 0.0000 0.0000 0.2129 [2 per cell]  8 La 3.36-3.46
In 0.0000 0.0000 0.4052 [2 per cell]  8 La 3.43

***

[7]
Material: CaLa4In5
Method: DFT, PBE
State: relaxed

Properties
Its formation energy is -0.509 eV/atom. The value obtained for the raw total energy is -4.05 eV per atom.

a = 3.8112 Å, b = 3.8112 Å, c = 20.9216 Å
α = 90.00°, β = 90.00°, γ = 90.00°
Closest atoms and distances in Å follow each position.
Space group P4/mmm (No. 123)
One atom of each set of equivalent atoms:
Ca 0.0000 0.0000 0.0000 [1 per cell]  8 In 3.31
La 0.0000 0.0000 0.1937 [2 per cell]  8 In 3.43-3.44, 4 La 3.81
La 0.0000 0.0000 0.3981 [2 per cell]  8 In 3.44-3.45, 4 La 3.81
In 0.5000 0.5000 0.0917 [2 per cell]  4 Ca 3.31, 4 La 3.44
In 0.5000 0.5000 0.2955 [2 per cell]  8 La 3.43-3.45, 4 In 3.81
In 0.5000 0.5000 0.5000 [1 per cell]  8 La 3.44, 4 In 3.81

***

[8]
Material: CaLa12In3
Method: DFT, PBE
State: relaxed

Properties
Its formation energy is -0.201 eV/atom. The value obtained for the raw total energy is -4.54 eV per atom.

a = 5.1009 Å, b = 5.1009 Å, c = 20.7754 Å
α = 90.00°, β = 90.00°, γ = 90.00°
Closest atoms and distances in Å follow each position.
Space group P4/mmm (No. 123)
One atom of each set of equivalent atoms:
Ca 0.0000 0.0000 0.0000 [1 per cell]  12 La 3.61-3.81
La 0.0000 0.5000 0.1359 [4 per cell]  8 La 3.57-3.81, 2 In 3.58, 2 Ca 3.81
La 0.0000 0.5000 0.3782 [4 per cell]  4 In 3.59, 8 La 3.59-3.61
La 0.5000 0.5000 0.0000 [1 per cell]  4 Ca 3.61, 8 La 3.81
La 0.5000 0.5000 0.2562 [2 per cell]  8 La 3.57-3.60, 4 In 3.61
La 0.5000 0.5000 0.5000 [1 per cell]  8 La 3.59, 4 In 3.61
In 0.0000 0.0000 0.2568 [2 per cell]  12 La 3.58-3.61
In 0.0000 0.0000 0.5000 [1 per cell]  12 La 3.59-3.61

***

[9]
Material: CaLa4In4
Method: DFT, PBE
State: relaxed

Properties
Its formation energy is -0.307 eV/atom. The value obtained for the raw total energy is -3.94 eV per atom.

a = 9.4565 Å, b = 9.4565 Å, c = 6.3461 Å
α = 90.00°, β = 90.00°, γ = 90.00°
Closest atoms and distances in Å follow each position.
Space group P4_2/n (No. 86, origin choice 2)
One atom of each set of equivalent atoms:
Ca 0.2500 0.2500 0.2500 [2 per cell]  4 In 3.20, 4 La 3.36
La 0.0850 0.8256 0.6174 [8 per cell]  5 In 3.33-3.64, 1 Ca 3.36, 1 La 3.43
In 0.0539 0.1476 0.8689 [8 per cell]  1 Ca 3.20, 3 In 3.32-3.41, 4 La 3.33-3.52

***

[10]
Material: Ca3LaIn2
Method: DFT, PBE
State: relaxed

Properties
Its formation energy is -0.374 eV/atom. The value obtained for the raw total energy is -3.11 eV per atom.

a = 5.3711 Å, b = 10.0088 Å, c = 7.2790 Å
α = 90.00°, β = 90.00°, γ = 90.00°
Closest atoms and distances in Å follow each position.
Space group Pmc2_1 (No. 26)
One atom of each set of equivalent atoms:
Ca 0.0000 0.0531 0.0000 [2 per cell]  3 In 3.37-3.41, 3 Ca 3.65
Ca 0.0000 0.3101 0.3563 [2 per cell]  4 In 3.26-3.34
Ca 0.5000 0.1786 0.7072 [2 per cell]  4 In 3.23-3.35
La 0.5000 0.4534 0.0633 [2 per cell]  5 In 3.38-3.71, 3 Ca 3.72-3.78, 2 La 3.76
In 0.0000 0.3641 0.8096 [2 per cell]  5 Ca 3.28-3.41, 2 La 3.38
In 0.5000 0.1426 0.2519 [2 per cell]  6 Ca 3.23-3.37, 1 La 3.40

***

[11]
Material: Ca2LaIn2
Method: DFT, PBE
State: relaxed

Properties
Its formation energy is -0.336 eV/atom. The value obtained for the raw total energy is -3.22 eV per atom. As for the energy above the most stable polymorph in this dataset: 0 meV per atom.

a = 9.4333 Å, b = 9.4333 Å, c = 3.4400 Å
α = 90.00°, β = 90.00°, γ = 90.00°
Closest atoms and distances in Å follow each position.
Space group P4/mbm (No. 127)
One atom of each set of equivalent atoms:
Ca 0.1242 0.3758 0.0000 [4 per cell]  6 In 3.18-3.34, 3 Ca 3.31-3.44
La 0.0000 0.0000 0.0000 [2 per cell]  2 La 3.44, 4 Ca 3.73
In 0.1750 0.6750 0.5000 [4 per cell]  6 Ca 3.18-3.34, 2 In 3.44

***

[12]
Material: Ca2LaIn2
Method: DFT, PBE
State: relaxed

Properties
Its formation energy is -0.287 eV/atom. The value obtained for the raw total energy is -3.17 eV per atom. As for the energy above the most stable polymorph in this dataset: 49 meV per atom.

a = 4.8342 Å, b = 4.8342 Å, c = 14.1903 Å
α = 90.00°, β = 90.00°, γ = 90.00°
Closest atoms and distances in Å follow each position.
Space group I4/mmm (No. 139)
One atom of each set of equivalent atoms:
Ca 0.0000 0.5000 0.2500 [4 per cell]  4 In 3.24, 4 Ca 3.42
La 0.0000 0.0000 0.0000 [2 per cell]  8 In 3.69
In 0.0000 0.0000 0.4023 [4 per cell]  1 In 2.77